# Tl5Zn3

A relaxed structure of Tl5Zn3 (PBE, Alexandria via LeMat-Bulk).

a b c (Å): 9.127 9.127 8.469
angles (deg): 94.83 94.82 142.56
Fractional coordinates of all 16 atoms:
1 Tl 0.228 0.729 0.445
2 Tl 0.771 0.272 0.555
3 Tl 0.802 0.095 0.874
4 Tl 0.197 0.905 0.126
5 Tl 0.683 0.550 0.302
6 Tl 0.316 0.450 0.698
7 Tl 0.595 0.302 0.874
8 Tl 0.404 0.698 0.126
9 Tl 0.049 0.183 0.302
10 Tl 0.950 0.817 0.698
11 Zn 0.750 0.750 0.000
12 Zn 0.249 0.250 0.000
13 Zn 0.342 0.158 0.500
14 Zn 0.657 0.842 0.500
15 Zn 0.232 0.732 0.816
16 Zn 0.767 0.268 0.184

Properties
energy relative to the elements	133	meV/atom
DOS at the Fermi energy	2.4	states/eV/f.u.
theoretical density	9.8	Mg/m³
calculated volume	25.87	A^3/atom


# TeOsPb2

A relaxed structure of TeOsPb2 (PBE, Alexandria via LeMat-Bulk).

a b c (Å): 7.391 7.391 4.562
angles (deg): 72.05 72.05 26.58
Fractional coordinates of all 4 atoms:
1 Os 0.250 0.250 0.250
2 Pb 0.924 0.924 0.076
3 Pb 0.576 0.576 0.424
4 Te 0.750 0.750 0.750

Properties
DOS at the Fermi energy	3.0	states/eV/f.u.
theoretical density	11.5	Mg/m³
calculated volume	26.45	A^3/atom


# Ce3P4Pt2

A relaxed structure of Ce3P4Pt2 (PBE, Alexandria via LeMat-Bulk).

a b c (Å): 4.213 5.723 8.001
angles (deg): 98.87 90.00 111.59
Fractional coordinates of all 9 atoms:
1 Ce 0.666 0.331 0.674
2 Ce 0.000 0.000 0.000
3 Ce 0.334 0.669 0.326
4 P 0.724 0.449 0.048
5 P 0.276 0.551 0.952
6 P 0.940 0.881 0.608
7 P 0.060 0.119 0.392
8 Pt 0.613 0.226 0.282
9 Pt 0.387 0.774 0.718

Properties
energy relative to the elements	-1170	meV/atom
DOS at the Fermi energy	13.7	states/eV/f.u.
theoretical density	8.8	Mg/m³
calculated volume	19.65	A^3/atom


# KW

A relaxed structure of KW (PBE, Alexandria via LeMat-Bulk).

a b c (Å): 6.524 15.329 9.869
angles (deg): 90.00 90.00 90.00
Fractional coordinates of all 32 atoms:
1 K 0.000 0.000 0.658
2 K 0.000 0.000 0.342
3 K 0.250 0.750 0.592
4 K 0.250 0.750 0.908
5 K 0.000 0.500 0.158
6 K 0.000 0.500 0.842
7 K 0.250 0.250 0.092
8 K 0.250 0.250 0.408
9 K 0.500 0.000 0.158
10 K 0.500 0.000 0.842
11 K 0.750 0.750 0.092
12 K 0.750 0.750 0.408
13 K 0.500 0.500 0.658
14 K 0.500 0.500 0.342
15 K 0.750 0.250 0.592
16 K 0.750 0.250 0.908
17 W 0.000 0.071 0.000
18 W 0.000 0.929 0.000
19 W 0.250 0.679 0.250
20 W 0.250 0.821 0.250
21 W 0.000 0.571 0.500
22 W 0.000 0.429 0.500
23 W 0.250 0.179 0.750
24 W 0.250 0.321 0.750
25 W 0.500 0.071 0.500
26 W 0.500 0.929 0.500
27 W 0.750 0.679 0.750
28 W 0.750 0.821 0.750
29 W 0.500 0.571 0.000
30 W 0.500 0.429 0.000
31 W 0.750 0.179 0.250
32 W 0.750 0.321 0.250

Properties
energy relative to the elements	1839	meV/atom
DOS at the Fermi energy	1.2	states/eV/f.u.
theoretical density	6.0	Mg/m³
calculated volume	30.84	A^3/atom


# TbAlGa4

A relaxed structure of TbAlGa4 (PBE, Alexandria via LeMat-Bulk).

a b c (Å): 5.004 5.770 5.294
angles (deg): 56.98 79.42 70.31
Fractional coordinates of all 6 atoms:
1 Tb 0.000 0.000 0.000
2 Al 0.500 0.500 0.000
3 Ga 0.000 0.347 0.306
4 Ga 0.500 0.194 0.611
5 Ga 0.000 0.653 0.694
6 Ga 0.500 0.806 0.389

Properties
energy relative to the elements	-183	meV/atom
DOS at the Fermi energy	2.4	states/eV/f.u.
theoretical density	6.4	Mg/m³
calculated volume	20.11	A^3/atom


# SnP2Se

A relaxed structure of SnP2Se (PBE, Alexandria via LeMat-Bulk).

a b c (Å): 5.318 5.318 8.113
angles (deg): 70.87 70.87 90.00
Fractional coordinates of all 8 atoms:
1 P 0.596 0.125 0.250
2 P 0.154 0.625 0.250
3 P 0.375 0.404 0.750
4 P 0.875 0.846 0.750
5 Sn 0.000 0.000 0.000
6 Sn 0.750 0.250 0.500
7 Se 0.500 0.500 0.000
8 Se 0.250 0.750 0.500

Properties
DOS at the Fermi energy	1.0	states/eV/f.u.
theoretical density	4.2	Mg/m³
calculated volume	25.42	A^3/atom


# Fe2AgAu

A relaxed structure of Fe2AgAu (PBE, Alexandria via LeMat-Bulk).

a b c (Å): 4.824 4.824 2.776
angles (deg): 90.00 90.00 110.13
Fractional coordinates of all 4 atoms:
1 Ag 0.500 0.000 0.500
2 Au 0.000 0.500 0.500
3 Fe 0.000 0.000 0.000
4 Fe 0.500 0.500 0.000

Properties
energy relative to the elements	293	meV/atom
DOS at the Fermi energy	3.8	states/eV/f.u.
theoretical density	11.4	Mg/m³
calculated volume	15.17	A^3/atom


no.,electronic total energy (eV per atom)
1,-1.8237
2,-4.9405
3,-6.8946
4,-5.1867
5,-3.5960
6,-4.2134
7,-5.4703